## Nd2CoCu2O6 (GGA+U)

Data for crystalline Nd2CoCu2O6 at its relaxed geometry.

Results
magnetic moment = 1.06 μB per cell
raw total energy = -70.3 eV/cell
calculated density = 6.82 g/cm3

a b c (Å): 5.7235 5.7235 5.9100
angles (deg): 61.04 61.04 60.00
Last column: nearest neighbours and their distance in Å.
Atoms (fractional coordinates):
O (0.2044, 0.7673, 0.2609)  1 Cu 1.86, 1 Co 1.93
O (0.7673, 0.7673, 0.2609)  1 Cu 1.86, 1 Co 1.93
O (0.7673, 0.2044, 0.2609)  1 Cu 1.86, 1 Co 1.93
O (0.2327, 0.7956, 0.7391)  1 Cu 1.86, 1 Co 1.93
O (0.7956, 0.2327, 0.7391)  1 Cu 1.86, 1 Co 1.93
O (0.2327, 0.2327, 0.7391)  1 Cu 1.86, 1 Co 1.93
Nd (0.2134, 0.2134, 0.3599)  3 O 2.35
Nd (0.7866, 0.7866, 0.6401)  3 O 2.35
Cu (0.4127, 0.4127, 0.7620)  3 O 1.86
Cu (0.5873, 0.5873, 0.2380)  3 O 1.86
Co (0.0000, 0.0000, 0.0000)  6 O 1.93